Entry 1:
# UCuSb, relaxed, DFT PBE-GGA
data_UCuSb
_cell_length_a 4.3591
_cell_length_b 4.3591
_cell_length_c 4.0613
_cell_angle_alpha 90.00
_cell_angle_beta 90.00
_cell_angle_gamma 120.00
_symmetry_space_group_name_H-M 'P 3 m 1'
_symmetry_Int_Tables_number 156
_symmetry_space_group_name_Hall 'P 3 -2"'
loop_
_atom_site_label
_atom_site_type_symbol
_atom_site_fract_x
_atom_site_fract_y
_atom_site_fract_z
U1 U 0.0000 0.0000 0.0000
Cu1 Cu 0.6667 0.3333 0.4050
Sb1 Sb 0.3333 0.6667 0.5171
# * energy relative to the elements, uncorrected: -36 meV/atom
# * electronic total energy: -6.5383 eV/atom

Entry 2:
# KMnBr2, relaxed, DFT PBE-GGA
data_KMnBr2
_cell_length_a 4.193
_cell_length_b 4.193
_cell_length_c 7.365
_cell_angle_alpha 90.00
_cell_angle_beta 90.00
_cell_angle_gamma 90.00
_symmetry_space_group_name_H-M 'P 4 m m'
_symmetry_Int_Tables_number 99
_symmetry_space_group_name_Hall 'P 4 -2'
loop_
_atom_site_label
_atom_site_type_symbol
_atom_site_fract_x
_atom_site_fract_y
_atom_site_fract_z
K1 K 0.000 0.000 0.000
Mn1 Mn 0.500 0.500 0.480
Br1 Br 0.000 0.000 0.440
Br2 Br 0.500 0.500 0.835
# * energy relative to the elements, uncorrected: -650 meV/atom
# * electronic total energy: -4.0527 eV/atom
# * ΔE to the lowest computed polymorph: 101 meV per atom

Entry 3:
# LaSm4Y4, relaxed, DFT PBE-GGA
data_LaSm4Y4
_cell_length_a 5.796
_cell_length_b 9.724
_cell_length_c 11.005
_cell_angle_alpha 79.28
_cell_angle_beta 89.94
_cell_angle_gamma 89.97
_symmetry_space_group_name_H-M 'P -1'
_symmetry_Int_Tables_number 2
_symmetry_space_group_name_Hall '-P 1'
loop_
_atom_site_label
_atom_site_type_symbol
_atom_site_fract_x
_atom_site_fract_y
_atom_site_fract_z
La1 La 0.249 0.108 0.150
Sm1 Sm 0.250 0.116 0.811
Sm2 Sm 0.250 0.445 0.926
Sm3 Sm 0.250 0.774 0.373
Sm4 Sm 0.251 0.777 0.702
Y1 Y 0.250 0.112 0.482
Y2 Y 0.250 0.443 0.260
Y3 Y 0.250 0.445 0.592
Y4 Y 0.250 0.773 0.039
# * electronic total energy: -5.4988 eV/atom